Here is a relaxed Li2MnAs crystal from the Alexandria database. Energies are from PBE-GGA.

Output
Crystal system = tetragonal
Calculated volume = 62 Å³ per cell
ΔE_f = -0.1074 eV/atom

Cell lengths 3.248, 3.248, 5.905 Å; angles 90.00, 90.00, 90.00 degrees
Space group P4mm (No. 99)
Unique sites:
Li  0.000  0.000  0.000 (multiplicity 1)
Li  0.500  0.500  0.275 (multiplicity 1)
Mn  0.000  0.000  0.542 (multiplicity 1)
As  0.500  0.500  0.719 (multiplicity 1)